Computed, not measured: LaReAs2 after structural relaxation at the PBE level of DFT.

Calculated values
* density: 9.45 g/cm3
* calculated total energy: -25.79 eV per cell
* space-group type: I-4m2
* calculated volume: 83.4 Å³ per cell
* ΔH_f (0 K): 0.220 eV/atom

a b c (Å): 5.686 5.686 5.686
angles (deg): 137.34 137.34 61.91
Atoms (fractional coordinates):
La (0.000, 0.000, 0.000)
Re (0.250, 0.750, 0.500)
As (0.500, 0.500, 0.000)
As (0.750, 0.250, 0.500)